(1)
# PBE Ba12LiCd6, relaxed
# N(E_F), states/eV/atom: 1.250
# VASP energy, eV/atom: -1.686
# Magnetization, Bohr magnetons per cell: 0.0
data_Ba12LiCd6
_space_group_name_H-M_alt 'R -3'
_space_group_IT_number 148
_space_group_name_Hall '-R 3'
_cell_length_a 17.2621
_cell_length_b 17.2621
_cell_length_c 10.4268
_cell_angle_alpha 90.00
_cell_angle_beta 90.00
_cell_angle_gamma 120.00
loop_
_atom_site_label
_atom_site_type_symbol
_atom_site_fract_x
_atom_site_fract_y
_atom_site_fract_z
Ba1 Ba 0.0336 0.8596 0.3397
Ba2 Ba 0.0745 0.5906 0.6275
Li1 Li 0.0000 0.0000 0.0000
Cd1 Cd 0.0187 0.7540 0.6355


(2)
# PBE Ba4LiCd2, relaxed
# N(E_F), states/eV/atom: 1.493
# VASP energy, eV/atom: -1.767
# Magnetization, Bohr magnetons per cell: 0.0
data_Ba4LiCd2
_space_group_name_H-M_alt 'R -3 m'
_space_group_IT_number 166
_space_group_name_Hall '-R 3 2"'
_cell_length_a 6.0534
_cell_length_b 6.0534
_cell_length_c 29.3910
_cell_angle_alpha 90.00
_cell_angle_beta 90.00
_cell_angle_gamma 120.00
loop_
_atom_site_label
_atom_site_type_symbol
_atom_site_fract_x
_atom_site_fract_y
_atom_site_fract_z
Ba1 Ba 0.0000 0.0000 0.1228
Ba2 Ba 0.0000 0.0000 0.3738
Li1 Li 0.0000 0.0000 0.5000
Cd1 Cd 0.0000 0.0000 0.2468


(3)
# PBE Ba2LiCd, relaxed
# N(E_F), states/eV/atom: 0.958
# VASP energy, eV/atom: -1.729
# Magnetization, Bohr magnetons per cell: 0.0
data_Ba2LiCd
_space_group_name_H-M_alt 'F -4 3 m'
_space_group_IT_number 216
_space_group_name_Hall 'F -4 2 3'
_cell_length_a 8.242
_cell_length_b 8.242
_cell_length_c 8.242
_cell_angle_alpha 90.00
_cell_angle_beta 90.00
_cell_angle_gamma 90.00
loop_
_atom_site_label
_atom_site_type_symbol
_atom_site_fract_x
_atom_site_fract_y
_atom_site_fract_z
Ba1 Ba 0.000 0.000 0.000
Ba2 Ba 0.250 0.250 0.250
Li1 Li 0.000 0.000 0.500
Cd1 Cd 0.250 0.250 0.750


(4)
# PBE BaLiCd3, relaxed
# N(E_F), states/eV/atom: 0.957
# VASP energy, eV/atom: -0.767
# Magnetization, Bohr magnetons per cell: 0.0
data_BaLiCd3
_space_group_name_H-M_alt 'P m -3 m'
_space_group_IT_number 221
_space_group_name_Hall '-P 4 2 3'
_cell_length_a 6.506
_cell_length_b 6.506
_cell_length_c 6.506
_cell_angle_alpha 90.00
_cell_angle_beta 90.00
_cell_angle_gamma 90.00
loop_
_atom_site_label
_atom_site_type_symbol
_atom_site_fract_x
_atom_site_fract_y
_atom_site_fract_z
Ba1 Ba 0.000 0.000 0.000
Li1 Li 0.500 0.500 0.500
Cd1 Cd 0.000 0.000 0.500


(5)
# PBE Ba2Li3Cd, relaxed
# N(E_F), states/eV/atom: 0.877
# VASP energy, eV/atom: -1.822
# Magnetization, Bohr magnetons per cell: 0.0
data_Ba2Li3Cd
_space_group_name_H-M_alt 'C 1 2/m 1'
_space_group_IT_number 12
_space_group_name_Hall '-C 2y'
_cell_length_a 11.216
_cell_length_b 6.459
_cell_length_c 6.581
_cell_angle_alpha 90.00
_cell_angle_beta 124.80
_cell_angle_gamma 90.00
loop_
_atom_site_label
_atom_site_type_symbol
_atom_site_fract_x
_atom_site_fract_y
_atom_site_fract_z
Ba1 Ba 0.125 0.000 0.375
Li1 Li 0.000 0.500 0.000
Li2 Li 0.250 0.250 0.000
Cd1 Cd 0.000 0.500 0.500


(6)
# PBE BaLi2Cd, relaxed
# N(E_F), states/eV/atom: 0.805
# VASP energy, eV/atom: -1.637
# Magnetization, Bohr magnetons per cell: 0.0
data_BaLi2Cd
_space_group_name_H-M_alt 'P m m m'
_space_group_IT_number 47
_space_group_name_Hall '-P 2 2'
_cell_length_a 4.093
_cell_length_b 5.624
_cell_length_c 5.626
_cell_angle_alpha 90.00
_cell_angle_beta 90.00
_cell_angle_gamma 90.00
loop_
_atom_site_label
_atom_site_type_symbol
_atom_site_fract_x
_atom_site_fract_y
_atom_site_fract_z
Ba1 Ba 0.000 0.000 0.000
Li1 Li 0.000 0.500 0.500
Li2 Li 0.500 0.000 0.500
Cd1 Cd 0.500 0.500 0.000


(7)
# PBE Ba3Li3Cd2, relaxed
# N(E_F), states/eV/atom: 0.912
# VASP energy, eV/atom: -1.819
# Magnetization, Bohr magnetons per cell: 0.0
data_Ba3Li3Cd2
_space_group_name_H-M_alt 'P n m a'
_space_group_IT_number 62
_space_group_name_Hall '-P 2ac 2n'
_cell_length_a 9.414
_cell_length_b 17.900
_cell_length_c 6.810
_cell_angle_alpha 90.00
_cell_angle_beta 90.00
_cell_angle_gamma 90.00
loop_
_atom_site_label
_atom_site_type_symbol
_atom_site_fract_x
_atom_site_fract_y
_atom_site_fract_z
Ba1 Ba 0.041 0.105 0.129
Ba2 Ba 0.178 0.250 0.633
Li1 Li 0.163 0.750 0.600
Li2 Li 0.173 0.035 0.606
Cd1 Cd 0.113 0.601 0.374


(8)
# PBE BaLi2Cd, relaxed
# N(E_F), states/eV/atom: 0.807
# VASP energy, eV/atom: -1.810
# Magnetization, Bohr magnetons per cell: 0.0
data_BaLi2Cd
_space_group_name_H-M_alt 'C 1 m 1'
_space_group_IT_number 8
_space_group_name_Hall 'C -2y'
_cell_length_a 8.585
_cell_length_b 4.977
_cell_length_c 6.599
_cell_angle_alpha 90.00
_cell_angle_beta 115.91
_cell_angle_gamma 90.00
loop_
_atom_site_label
_atom_site_type_symbol
_atom_site_fract_x
_atom_site_fract_y
_atom_site_fract_z
Ba1 Ba 0.000 0.000 0.000
Li1 Li 0.009 0.500 0.525
Li2 Li 0.309 0.500 0.426
Cd1 Cd 0.199 0.000 0.595


Summary of formation energy in eV per atom
-0.08 -0.13 -0.06 0.55 -0.07 0.03 -0.15 -0.14
(order as listed above)